Entry 1:
Compound: U2TiSe4
Source: the Alexandria database
Functional: PBE
Structure: optimized geometry

```
data_U2TiSe4
_space_group_name_H-M_alt 'C 1 2/m 1'
_space_group_IT_number 12
_cell_length_a 14.648
_cell_length_b 3.841
_cell_length_c 6.791
_cell_angle_alpha 90.00
_cell_angle_beta 116.62
_cell_angle_gamma 90.00
loop_
_space_group_symop_operation_xyz
'x,y,z'
'-x,-y,-z'
'-x,y,-z'
'x,-y,z'
'x+1/2,y+1/2,z'
'-x+1/2,-y+1/2,-z'
'-x+1/2,y+1/2,-z'
'x+1/2,-y+1/2,z'
loop_
_atom_site_label
_atom_site_fract_x
_atom_site_fract_y
_atom_site_fract_z
_atom_site_occupancy
U1 0.247 0.000 0.248 1
Ti1 0.000 0.500 0.500 1
Se1 0.109 0.000 0.776 1
Se2 0.113 0.500 0.293 1
```

The value obtained for the raw formation energy is -1.047 eV per atom.


Entry 2:
Compound: Tb2NdDy2Er
Source: the Alexandria database
Functional: PBE
Structure: optimized geometry

```
data_Tb2NdDy2Er
_space_group_name_H-M_alt 'P n n m'
_space_group_IT_number 58
_cell_length_a 6.555
_cell_length_b 17.730
_cell_length_c 3.396
_cell_angle_alpha 90.00
_cell_angle_beta 90.00
_cell_angle_gamma 90.00
loop_
_space_group_symop_operation_xyz
'x,y,z'
'-x,-y,-z'
'-x,-y,z'
'x,y,-z'
'x+1/2,-y+1/2,-z+1/2'
'-x+1/2,y+1/2,z+1/2'
'-x+1/2,y+1/2,-z+1/2'
'x+1/2,-y+1/2,z+1/2'
loop_
_atom_site_label
_atom_site_fract_x
_atom_site_fract_y
_atom_site_fract_z
_atom_site_occupancy
Tb1 0.222 0.149 0.000 1
Nd1 0.000 0.500 0.500 1
Dy1 0.226 0.316 0.500 1
Er1 0.000 0.000 0.500 1
```

The formation enthalpy at 0 K comes out at 0.273 eV per atom.


Entry 3:
Compound: Zn3BN
Source: the Alexandria database
Functional: PBE
Structure: optimized geometry

```
data_Zn3BN
_space_group_name_H-M_alt 'P m -3 m'
_space_group_IT_number 221
_space_group_name_Hall '-P 4 2 3'
_cell_length_a 4.042
_cell_length_b 4.042
_cell_length_c 4.042
_cell_angle_alpha 90.00
_cell_angle_beta 90.00
_cell_angle_gamma 90.00
loop_
_atom_site_label
_atom_site_fract_x
_atom_site_fract_y
_atom_site_fract_z
_atom_site_occupancy
Zn1 0.000 0.000 0.500 1
B1 0.500 0.500 0.500 1
N1 0.000 0.000 0.000 1
```

The value obtained for the polymorph energy (0 for the lowest one) is 0 meV per atom. The value obtained for the raw formation energy is 0.917 eV per atom.